Record 1
# BeNiSe2N, optimized geometry, DFT PBE
data_BeNiSe2N
_chemical_formula_sum 'Be1 Ni1 Se2 N1'
_space_group_name_H-M_alt 'P 4/m m m'
_space_group_IT_number 123
_space_group_name_Hall '-P 4 2'
_cell_length_a 4.857
_cell_length_b 4.857
_cell_length_c 3.001
_cell_angle_alpha 90.00
_cell_angle_beta 90.00
_cell_angle_gamma 90.00
loop_
_atom_site_label
_atom_site_type_symbol
_atom_site_fract_x
_atom_site_fract_y
_atom_site_fract_z
Be1 Be 0.000 0.000 0.000
Ni1 Ni 0.500 0.500 0.500
Se1 Se 0.000 0.500 0.000
N1 N 0.000 0.000 0.500
# * theoretical density: 5.62 g/cm³
# * spin magnetization: 0.00 μB/cell
# * formation energy from raw total energies: 53.8 kJ/mol of atoms
# * polymorph energy (0 for the lowest one): 0 meV per atom

---

Record 2
# BeNiSe2N, optimized geometry, DFT PBE
data_BeNiSe2N
_chemical_formula_sum 'Be1 Ni1 Se2 N1'
_space_group_name_H-M_alt 'P 4/m m m'
_space_group_IT_number 123
_space_group_name_Hall '-P 4 2'
_cell_length_a 4.928
_cell_length_b 4.928
_cell_length_c 3.355
_cell_angle_alpha 90.00
_cell_angle_beta 90.00
_cell_angle_gamma 90.00
loop_
_atom_site_label
_atom_site_type_symbol
_atom_site_fract_x
_atom_site_fract_y
_atom_site_fract_z
Be1 Be 0.000 0.000 0.000
Ni1 Ni 0.500 0.500 0.500
Se1 Se 0.000 0.500 0.500
N1 N 0.500 0.500 0.000
# * theoretical density: 4.88 g/cm³
# * spin magnetization: 0.00 μB/cell
# * formation energy from raw total energies: 72.0 kJ/mol of atoms
# * polymorph energy (0 for the lowest one): 189 meV per atom

---

Record 3
# SmBeNiN, optimized geometry, DFT PBE
data_SmBeNiN
_chemical_formula_sum 'Sm2 Be2 Ni2 N2'
_space_group_name_H-M_alt 'P 4/n m m'
_space_group_IT_number 129
_cell_length_a 3.602
_cell_length_b 3.602
_cell_length_c 8.055
_cell_angle_alpha 90.00
_cell_angle_beta 90.00
_cell_angle_gamma 90.00
loop_
_space_group_symop_operation_xyz
'x,y,z'
'-x,-y,-z'
'-y+1/2,x,z'
'y+1/2,-x,-z'
'-x+1/2,-y+1/2,z'
'x+1/2,y+1/2,-z'
'y,-x+1/2,z'
'-y,x+1/2,-z'
'x+1/2,-y,-z'
'-x+1/2,y,z'
'-y,-x,-z'
'y,x,z'
'-x,y+1/2,-z'
'x,-y+1/2,z'
'y+1/2,x+1/2,-z'
'-y+1/2,-x+1/2,z'
loop_
_atom_site_label
_atom_site_type_symbol
_atom_site_fract_x
_atom_site_fract_y
_atom_site_fract_z
Sm1 Sm 0.250 0.250 0.159
Be1 Be 0.250 0.250 0.658
Ni1 Ni 0.250 0.750 0.500
N1 N 0.250 0.250 0.860
# * theoretical density: 7.38 g/cm³
# * spin magnetization: 0.00 μB/cell
# * formation energy from raw total energies: -87.7 kJ/mol of atoms

---

Record 4
# TbBeNiN, optimized geometry, DFT PBE
data_TbBeNiN
_chemical_formula_sum 'Tb2 Be2 Ni2 N2'
_space_group_name_H-M_alt 'P 4/n m m'
_space_group_IT_number 129
_cell_length_a 3.526
_cell_length_b 3.526
_cell_length_c 8.053
_cell_angle_alpha 90.00
_cell_angle_beta 90.00
_cell_angle_gamma 90.00
loop_
_space_group_symop_operation_xyz
'x,y,z'
'-x,-y,-z'
'-y+1/2,x,z'
'y+1/2,-x,-z'
'-x+1/2,-y+1/2,z'
'x+1/2,y+1/2,-z'
'y,-x+1/2,z'
'-y,x+1/2,-z'
'x+1/2,-y,-z'
'-x+1/2,y,z'
'-y,-x,-z'
'y,x,z'
'-x,y+1/2,-z'
'x,-y+1/2,z'
'y+1/2,x+1/2,-z'
'-y+1/2,-x+1/2,z'
loop_
_atom_site_label
_atom_site_type_symbol
_atom_site_fract_x
_atom_site_fract_y
_atom_site_fract_z
Tb1 Tb 0.250 0.250 0.156
Be1 Be 0.250 0.250 0.662
Ni1 Ni 0.250 0.750 0.500
N1 N 0.250 0.250 0.864
# * theoretical density: 7.98 g/cm³
# * spin magnetization: 0.00 μB/cell
# * formation energy from raw total energies: -94.6 kJ/mol of atoms

---

Record 5
# BeTcNiN2, optimized geometry, DFT PBE
data_BeTcNiN2
_chemical_formula_sum 'Be1 Tc1 Ni1 N2'
_space_group_name_H-M_alt 'P 4/m m m'
_space_group_IT_number 123
_space_group_name_Hall '-P 4 2'
_cell_length_a 3.548
_cell_length_b 3.548
_cell_length_c 3.819
_cell_angle_alpha 90.00
_cell_angle_beta 90.00
_cell_angle_gamma 90.00
loop_
_atom_site_label
_atom_site_type_symbol
_atom_site_fract_x
_atom_site_fract_y
_atom_site_fract_z
Be1 Be 0.000 0.000 0.000
Tc1 Tc 0.500 0.500 0.500
Ni1 Ni 0.000 0.000 0.500
N1 N 0.000 0.500 0.000
# * theoretical density: 6.69 g/cm³
# * spin magnetization: 1.52 μB/cell
# * formation energy from raw total energies: 124.9 kJ/mol of atoms

---

Record 6
# ThBeNiN, optimized geometry, DFT PBE
data_ThBeNiN
_chemical_formula_sum 'Th2 Be2 Ni2 N2'
_space_group_name_H-M_alt 'P 4/n m m'
_space_group_IT_number 129
_cell_length_a 3.699
_cell_length_b 3.699
_cell_length_c 7.906
_cell_angle_alpha 90.00
_cell_angle_beta 90.00
_cell_angle_gamma 90.00
loop_
_space_group_symop_operation_xyz
'x,y,z'
'-x,-y,-z'
'-y+1/2,x,z'
'y+1/2,-x,-z'
'-x+1/2,-y+1/2,z'
'x+1/2,y+1/2,-z'
'y,-x+1/2,z'
'-y,x+1/2,-z'
'x+1/2,-y,-z'
'-x+1/2,y,z'
'-y,-x,-z'
'y,x,z'
'-x,y+1/2,-z'
'x,-y+1/2,z'
'y+1/2,x+1/2,-z'
'-y+1/2,-x+1/2,z'
loop_
_atom_site_label
_atom_site_type_symbol
_atom_site_fract_x
_atom_site_fract_y
_atom_site_fract_z
Th1 Th 0.250 0.250 0.172
Be1 Be 0.250 0.250 0.654
Ni1 Ni 0.250 0.750 0.500
N1 N 0.250 0.250 0.865
# * theoretical density: 9.63 g/cm³
# * spin magnetization: 0.00 μB/cell
# * formation energy from raw total energies: -91.7 kJ/mol of atoms

---

Record 7
# BeTlNiN2, optimized geometry, DFT PBE
data_BeTlNiN2
_chemical_formula_sum 'Be1 Tl1 Ni1 N2'
_space_group_name_H-M_alt 'P 4/m m m'
_space_group_IT_number 123
_space_group_name_Hall '-P 4 2'
_cell_length_a 3.804
_cell_length_b 3.804
_cell_length_c 4.391
_cell_angle_alpha 90.00
_cell_angle_beta 90.00
_cell_angle_gamma 90.00
loop_
_atom_site_label
_atom_site_type_symbol
_atom_site_fract_x
_atom_site_fract_y
_atom_site_fract_z
Be1 Be 0.000 0.000 0.000
Tl1 Tl 0.500 0.500 0.000
Ni1 Ni 0.000 0.000 0.500
N1 N 0.000 0.500 0.500
# * theoretical density: 7.84 g/cm³
# * spin magnetization: 1.92 μB/cell
# * formation energy from raw total energies: 119.4 kJ/mol of atoms

---

Record 8
# YBeNiN, optimized geometry, DFT PBE
data_YBeNiN
_chemical_formula_sum 'Y2 Be2 Ni2 N2'
_space_group_name_H-M_alt 'P 4/n m m'
_space_group_IT_number 129
_cell_length_a 3.509
_cell_length_b 3.509
_cell_length_c 8.075
_cell_angle_alpha 90.00
_cell_angle_beta 90.00
_cell_angle_gamma 90.00
loop_
_space_group_symop_operation_xyz
'x,y,z'
'-x,-y,-z'
'-y+1/2,x,z'
'y+1/2,-x,-z'
'-x+1/2,-y+1/2,z'
'x+1/2,y+1/2,-z'
'y,-x+1/2,z'
'-y,x+1/2,-z'
'x+1/2,-y,-z'
'-x+1/2,y,z'
'-y,-x,-z'
'y,x,z'
'-x,y+1/2,-z'
'x,-y+1/2,z'
'y+1/2,x+1/2,-z'
'-y+1/2,-x+1/2,z'
loop_
_atom_site_label
_atom_site_type_symbol
_atom_site_fract_x
_atom_site_fract_y
_atom_site_fract_z
Y1 Y 0.250 0.250 0.155
Be1 Be 0.250 0.250 0.663
Ni1 Ni 0.250 0.750 0.500
N1 N 0.250 0.250 0.864
# * theoretical density: 5.70 g/cm³
# * spin magnetization: 0.00 μB/cell
# * formation energy from raw total energies: -94.9 kJ/mol of atoms